# 1
# ErTm2Pb2

Crystalline ErTm2Pb2 at its relaxed geometry (PBE-GGA, Alexandria). Values from VASP.

Computed properties:
Excess energy over the best structure of this formula in the dataset   0.101 eV per atom
Magnetization   0.000 μB per cell
Calculated formation energy   -1.5 eV/f.u.

Structure (Quantum ESPRESSO input):
```
&SYSTEM
  ibrav = 0, nat = 10, ntyp = 3
/
ATOMIC_SPECIES
Er 167.26 Er.upf
Tm 168.93 Tm.upf
Pb 207.20 Pb.upf
CELL_PARAMETERS angstrom
6.5849 0.0000 0.0000
0.0000 4.5485 0.0000
0.0000 0.0000 10.0625
ATOMIC_POSITIONS angstrom
Er 0.0000 0.0000 0.0000
Er 3.2924 0.0000 0.0000
Tm 1.6462 0.0000 3.5728
Tm 1.6462 2.2743 7.7324
Tm 4.9387 0.0000 6.4897
Tm 4.9387 2.2743 2.3301
Pb 0.0000 2.2743 5.0312
Pb 1.6462 2.2743 1.3232
Pb 3.2924 2.2743 5.0312
Pb 4.9387 2.2743 8.7393
```



# 2
# Hf2TlCuPt

Crystalline Hf2TlCuPt at its relaxed geometry (PBE-GGA, Alexandria). Values from VASP.

Computed properties:
Magnetization   0.000 μB per cell
Calculated formation energy   3.1 eV/f.u.

Structure (Quantum ESPRESSO input):
```
&SYSTEM
  ibrav = 0, nat = 5, ntyp = 4
/
ATOMIC_SPECIES
Hf 178.49 Hf.upf
Tl 204.38 Tl.upf
Cu 63.55 Cu.upf
Pt 195.08 Pt.upf
CELL_PARAMETERS angstrom
5.0746 0.0000 0.0000
0.0000 5.0746 0.0000
0.0000 0.0000 5.1259
ATOMIC_POSITIONS angstrom
Hf 0.0000 2.5373 0.0000
Hf 2.5373 0.0000 0.0000
Tl 0.0000 0.0000 2.5629
Cu 2.5373 2.5373 2.5629
Pt 0.0000 0.0000 0.0000
```



Which formula does entry 1 have?
ErTm2Pb2



What is the formula in the second record?
Hf2TlCuPt